VASP calculation (GGA-PBE) on an optimized crystal structure of ZnReRh.

Calculated values
**Calculated formation energy**: -0.1227 eV per atom
**Size of the total moment**: 0.00 μB per formula unit

```
ZnReRh
1.0
2.738 0.000 0.000
0.000 4.006 0.000
-1.349 0.000 7.860
Zn Re Rh
2 2 2
Cartesian
0.025 1.001 0.707 Zn
1.365 3.004 7.152 Zn
0.042 1.001 3.373 Re
1.348 3.004 4.487 Re
0.005 1.001 6.023 Rh
1.385 3.004 1.837 Rh
```